The following is a PBE with a Hubbard U calculation of a relaxed CaMnBr2F crystal, from the Alexandria database.

Calculated values
**Density of states at the Fermi level**: 2.4 states/eV/f.u.
**Mass density**: 3.5 Mg/m³
**Raw total energy**: -4.154 eV per atom

Unit cell a=5.853 b=5.853 c=3.822 alpha=90.00 beta=90.00 gamma=90.00
Space group P4/mmm (No. 123)
Inequivalent atoms, fractional coordinates:
Ca (0.000, 0.000, 0.000)
Mn (0.500, 0.500, 0.000)
Br (0.000, 0.500, 0.500)
F (0.500, 0.500, 0.500)